No. 1
# SrMo2Br

An optimized crystal structure of SrMo2Br (GGA-PBE, the Alexandria database).

Unit cell a=3.884 b=3.884 c=6.163 alpha=90.00 beta=90.00 gamma=90.00
Space group P4/mmm (No. 123)
Unique sites:
Sr  0.000  0.000  0.000 x1
Mo  0.000  0.500  0.500 x2
Br  0.500  0.500  0.000 x1

Values from the calculation:
- formation energy from raw total energies (kJ/mol of atoms) = 69
- total moment (μB per formula unit) = 0.0
- excess energy over the best structure of this formula in the dataset (meV/atom) = 629
- density of states at the Fermi level (states/eV per atom) = 1.27
- calculated total energy (eV per cell) = -22.2

No. 2
# LiYP4

An optimized crystal structure of LiYP4 (GGA-PBE, the Alexandria database).

Unit cell a=7.428 b=7.428 c=7.428 alpha=90.00 beta=90.00 gamma=90.00
Space group F-43m (No. 216)
Unique sites:
Li  0.000  0.000  0.000 x4
Y  0.250  0.250  0.250 x4
P  0.130  0.130  0.630 x16

Values from the calculation:
- total moment (μB per formula unit) = 0.0
- formation enthalpy at 0 K (eV/atom) = -0.15
- density of states at the Fermi level (states/eV per atom) = 0.75
- calculated total energy (eV per cell) = -123.8

No. 3
# MoC

An optimized crystal structure of MoC (GGA-PBE, the Alexandria database).

Unit cell a=2.721 b=2.721 c=2.721 alpha=90.00 beta=90.00 gamma=90.00
Space group Pm-3m (No. 221)
Unique sites:
Mo  0.000  0.000  0.000 x1
C  0.500  0.500  0.500 x1

Values from the calculation:
- total moment (μB per formula unit) = 0.0
- formation enthalpy at 0 K (eV/atom) = 0.67
- excess energy over the best structure of this formula in the dataset (meV/atom) = 765
- density of states at the Fermi level (states/eV per atom) = 0.39
- calculated total energy (eV per cell) = -18.7

No. 4
# TiMnCd2

An optimized crystal structure of TiMnCd2 (GGA-PBE, the Alexandria database).

Unit cell a=6.620 b=6.620 c=6.620 alpha=90.00 beta=90.00 gamma=90.00
Space group Fm-3m (No. 225)
Unique sites:
Ti  0.000  0.000  0.000 x4
Mn  0.000  0.000  0.500 x4
Cd  0.250  0.250  0.250 x8

Values from the calculation:
- total moment (μB per formula unit) = 3.0
- formation enthalpy at 0 K (eV/atom) = 0.19
- excess energy over the best structure of this formula in the dataset (meV/atom) = 0
- density of states at the Fermi level (states/eV per atom) = 0.46
- calculated total energy (eV per cell) = -72.6